(1)
GaGe3C | PBE-GGA | optimized geometry

a b c (Å): 4.8770 4.8770 4.8770
angles (deg): 90.00 90.00 90.00
Atoms (fractional coordinates):
1 Ge 0.0000 0.5000 0.0000
2 Ge 0.0000 0.0000 0.5000
3 Ga 0.0000 0.0000 0.0000
4 Ge 0.5000 0.0000 0.0000
5 C 0.5000 0.5000 0.5000

Electronic total energy, eV/atom: -3.353
Total magnetization, μB/f.u.: 0.89

(2)
MgCdAu | PBE-GGA | optimized geometry

a b c (Å): 4.6315 4.6315 7.8740
angles (deg): 72.90 72.90 60.00
Atoms (fractional coordinates):
1 Au 0.7452 0.7452 0.7643
2 Mg 0.3777 0.3777 0.8669
3 Cd 0.8754 0.8754 0.3738
4 Au 0.2548 0.2548 0.2357
5 Cd 0.1246 0.1246 0.6262
6 Mg 0.6223 0.6223 0.1331

Electronic total energy, eV/atom: -2.259
Total magnetization, μB/f.u.: 0.00

(3)
Pm8Al2Zn | PBE-GGA | optimized geometry

a b c (Å): 5.1046 8.6289 8.8521
angles (deg): 119.17 106.76 90.00
Atoms (fractional coordinates):
1 Pm 0.6582 0.4374 0.3164
2 Pm 0.0000 0.3222 0.0000
3 Al 0.1957 0.6957 0.3914
4 Al 0.8043 0.3043 0.6086
5 Zn 0.5000 0.0000 0.0000
6 Pm 0.3418 0.5626 0.6836
7 Pm 0.3418 0.1210 0.6836
8 Pm 0.6582 0.8790 0.3164
9 Pm 0.8607 0.8607 0.7213
10 Pm 0.0000 0.6778 0.0000
11 Pm 0.1393 0.1393 0.2787

Electronic total energy, eV/atom: -4.361
Total magnetization, μB/f.u.: 0.00

(4)
ErTa2B6 | PBE-GGA | optimized geometry

a b c (Å): 3.4530 5.4456 5.4456
angles (deg): 120.00 90.00 90.00
Atoms (fractional coordinates):
1 B 0.5000 0.6619 0.6619
2 Ta 0.0000 0.6667 0.3333
3 Ta 0.0000 0.3333 0.6667
4 B 0.5000 0.3381 0.3381
5 B 0.5000 0.0000 0.6619
6 B 0.5000 0.6619 0.0000
7 Er 0.0000 0.0000 0.0000
8 B 0.5000 0.0000 0.3381
9 B 0.5000 0.3381 0.0000

Electronic total energy, eV/atom: -8.309
Total magnetization, μB/f.u.: 0.00

(5)
K2CaVGa | PBE-GGA | optimized geometry

a b c (Å): 6.3054 5.9646 6.3054
angles (deg): 90.00 90.00 90.00
Atoms (fractional coordinates):
1 Ga 0.5000 0.5000 0.5000
2 K 0.0000 0.0000 0.5000
3 K 0.5000 0.0000 0.0000
4 Ca 0.0000 0.5000 0.0000
5 V 0.0000 0.0000 0.0000

Electronic total energy, eV/atom: -2.272
Total magnetization, μB/f.u.: 5.16

(6)
BeTl2Se | PBE-GGA | optimized geometry

a b c (Å): 5.2958 5.2958 5.2958
angles (deg): 60.00 60.00 60.00
Atoms (fractional coordinates):
1 Be 0.0000 0.0000 0.0000
2 Tl 0.2500 0.2500 0.2500
3 Se 0.5000 0.5000 0.5000
4 Tl 0.7500 0.7500 0.7500

Formation energy without anion corrections, eV/atom: 0.45
Electronic total energy, eV/atom: -2.535
Total magnetization, μB/f.u.: 0.00

(7)
MgZn2Te2 | PBE-GGA | optimized geometry

a b c (Å): 4.1305 4.1305 8.0681
angles (deg): 75.17 75.17 90.00
Atoms (fractional coordinates):
1 Te 0.6237 0.6237 0.7526
2 Te 0.3763 0.3763 0.2474
3 Mg 0.0000 0.0000 0.0000
4 Zn 0.2500 0.7500 0.5000
5 Zn 0.7500 0.2500 0.5000

Formation energy without anion corrections, eV/atom: -0.09
Electronic total energy, eV/atom: -2.171
Total magnetization, μB/f.u.: 0.00

(8)
Sc4Rh2Pb | PBE-GGA | optimized geometry

a b c (Å): 4.8035 4.8035 14.2624
angles (deg): 90.00 90.00 120.03
Atoms (fractional coordinates):
1 Sc 0.1671 0.8329 0.6221
2 Rh 0.8335 0.1665 0.9406
3 Sc 0.1661 0.8339 0.2500
4 Pb 0.5007 0.4993 0.7500
5 Sc 0.8329 0.1671 0.3779
6 Sc 0.8339 0.1661 0.7500
7 Rh 0.1665 0.8335 0.4406
8 Sc 0.1671 0.8329 0.8779
9 Pb 0.4993 0.5007 0.2500
10 Rh 0.1665 0.8335 0.0594
11 Sc 0.5000 0.5000 0.5000
12 Sc 0.8329 0.1671 0.1221
13 Sc 0.5000 0.5000 0.0000
14 Rh 0.8335 0.1665 0.5594

Electronic total energy, eV/atom: -6.883
Total magnetization, μB/f.u.: 0.00

(9)
Ho2TmI | PBE-GGA | optimized geometry

a b c (Å): 3.6096 3.6096 9.3999
angles (deg): 90.00 90.00 90.00
Atoms (fractional coordinates):
1 Ho 0.0000 0.0000 0.2472
2 Ho 0.0000 0.0000 0.7528
3 I 0.5000 0.5000 0.0000
4 Tm 0.5000 0.5000 0.5000

Formation energy without anion corrections, eV/atom: -0.26
Electronic total energy, eV/atom: -4.059
Total magnetization, μB/f.u.: 0.00

(10)
Sc3ZnAg | PBE-GGA | optimized geometry

a b c (Å): 4.7209 4.7198 9.6086
angles (deg): 90.00 75.78 90.00
Atoms (fractional coordinates):
1 Ag 0.4818 0.7500 0.6847
2 Sc 0.0737 0.7500 0.5009
3 Sc 0.5747 0.2500 0.4991
4 Sc 0.8847 0.7500 0.8790
5 Ag 0.1665 0.2500 0.3153
6 Sc 0.2616 0.7500 0.1251
7 Sc 0.7637 0.2500 0.1210
8 Zn 0.6689 0.7500 0.3106
9 Zn 0.9795 0.2500 0.6894
10 Sc 0.3867 0.2500 0.8749

Electronic total energy, eV/atom: -4.852
Total magnetization, μB/f.u.: 0.70

(11)
ZrSn2GeO | PBE-GGA | optimized geometry

a b c (Å): 5.1779 5.1289 5.1779
angles (deg): 90.00 90.00 90.00
Atoms (fractional coordinates):
1 Sn 0.5000 0.0000 0.0000
2 Ge 0.0000 0.0000 0.0000
3 Sn 0.0000 0.0000 0.5000
4 Zr 0.0000 0.5000 0.0000
5 O 0.5000 0.5000 0.5000

Formation energy without anion corrections, eV/atom: 0.85
Electronic total energy, eV/atom: -4.379
Total magnetization, μB/f.u.: 0.01

(12)
PdRuAu2 | PBE-GGA | optimized geometry

a b c (Å): 4.5509 4.5509 4.5509
angles (deg): 60.00 60.00 60.00
Atoms (fractional coordinates):
1 Ru 0.0000 0.0000 0.0000
2 Pd 0.5000 0.5000 0.5000
3 Au 0.7500 0.7500 0.7500
4 Au 0.2500 0.2500 0.2500

Electronic total energy, eV/atom: -4.948
Total magnetization, μB/f.u.: 2.20

(13)
In2Tc3 | PBE-GGA | optimized geometry

a b c (Å): 4.4820 4.4820 5.6086
angles (deg): 90.00 90.00 120.00
Atoms (fractional coordinates):
1 In 0.3333 0.6667 0.8255
2 In 0.6667 0.3333 0.1745
3 Tc 0.0000 0.0000 0.0000
4 Tc 0.6667 0.3333 0.6539
5 Tc 0.3333 0.6667 0.3461

Electronic total energy, eV/atom: -6.318
Total magnetization, μB/f.u.: 5.28

(14)
Mn2OsCl | PBE-GGA | optimized geometry

a b c (Å): 2.8828 2.8828 8.1252
angles (deg): 90.00 90.00 115.42
Atoms (fractional coordinates):
1 Mn 0.0000 0.0000 0.4985
2 Cl 0.5000 0.5000 0.7500
3 Os 0.5000 0.5000 0.2500
4 Mn 0.0000 0.0000 0.0015

Formation energy without anion corrections, eV/atom: 0.30
Electronic total energy, eV/atom: -7.556
Total magnetization, μB/f.u.: 7.47

(15)
Sn2Te2Au | PBE-GGA | optimized geometry

a b c (Å): 4.8364 4.8364 7.8810
angles (deg): 72.13 72.13 90.00
Atoms (fractional coordinates):
1 Au 0.0000 0.0000 0.0000
2 Te 0.2500 0.7500 0.5000
3 Sn 0.3870 0.3870 0.2260
4 Sn 0.6130 0.6130 0.7740
5 Te 0.7500 0.2500 0.5000

Formation energy without anion corrections, eV/atom: 0.27
Electronic total energy, eV/atom: -3.243
Total magnetization, μB/f.u.: 0.00

(16)
TbHo2Er4 | PBE-GGA | optimized geometry

a b c (Å): 8.3094 9.7008 9.8300
angles (deg): 144.33 97.67 94.68
Atoms (fractional coordinates):
1 Tb 0.1950 0.3152 0.3333
2 Tb 0.0522 0.8863 0.6183
3 Ho 0.5559 0.4944 0.7266
4 Er 0.9110 0.6108 0.0605
5 Er 0.7697 0.1031 0.2595
6 Er 0.4820 0.2582 0.8540
7 Ho 0.1250 0.2593 0.6340
8 Ho 0.6253 0.5610 0.4361
9 Er 0.2701 0.5821 0.2369
10 Er 0.4122 0.9255 0.8764
11 Er 0.3393 0.8879 0.1855
12 Er 0.8377 0.2147 0.0143
13 Ho 0.6960 0.9434 0.4614
14 Er 0.9786 0.7081 0.8033

Electronic total energy, eV/atom: -4.498
Total magnetization, μB/f.u.: 0.00

(17)
Al2Zn3 | PBE-GGA | optimized geometry

a b c (Å): 2.8853 2.8853 11.1025
angles (deg): 82.53 82.53 60.00
Atoms (fractional coordinates):
1 Al 0.2983 0.2983 0.1051
2 Al 0.7017 0.7017 0.8949
3 Zn 0.5000 0.5000 0.5000
4 Zn 0.1014 0.1014 0.6958
5 Zn 0.8986 0.8986 0.3042

Electronic total energy, eV/atom: -2.244
Total magnetization, μB/f.u.: 0.00

(18)
Li5Ag3 | PBE-GGA | optimized geometry

a b c (Å): 3.2653 3.2653 12.3344
angles (deg): 90.00 90.00 90.00
Atoms (fractional coordinates):
1 Li 0.5000 0.5000 0.3810
2 Li 0.5000 0.5000 0.6190
3 Li 0.0000 0.0000 0.0000
4 Ag 0.5000 0.5000 0.8739
5 Li 0.0000 0.0000 0.7566
6 Ag 0.0000 0.0000 0.5000
7 Ag 0.5000 0.5000 0.1261
8 Li 0.0000 0.0000 0.2434

Electronic total energy, eV/atom: -2.450
Total magnetization, μB/f.u.: 0.00

(19)
Ba6Ir2ICl3 | PBE-GGA | optimized geometry

a b c (Å): 4.5603 9.8657 10.4362
angles (deg): 102.63 102.62 90.00
Atoms (fractional coordinates):
1 Ir 0.8347 0.6653 0.6694
2 Ba 0.9792 0.7217 0.9584
3 Ba 0.3244 0.4337 0.6489
4 Cl 0.1567 0.8392 0.3134
5 Ba 0.0208 0.2783 0.0416
6 Cl 0.8433 0.1608 0.6866
7 Ba 0.6756 0.5663 0.3511
8 Ba 0.6803 0.1290 0.3605
9 I 0.5000 0.0000 0.0000
10 Cl 0.5000 0.5000 0.0000
11 Ir 0.1653 0.3347 0.3306
12 Ba 0.3197 0.8710 0.6395

Formation energy without anion corrections, eV/atom: -1.21
Electronic total energy, eV/atom: -4.243
Total magnetization, μB/f.u.: 0.00

(20)
Na3Ca2HfO6 | PBE-GGA | optimized geometry

a b c (Å): 5.8491 5.8491 5.8533
angles (deg): 99.72 99.72 119.96
Atoms (fractional coordinates):
1 Na 0.1651 0.8349 0.5000
2 Na 0.8349 0.1651 0.5000
3 Na 0.5000 0.5000 0.5000
4 Ca 0.3330 0.6670 0.0000
5 Hf 0.0000 0.0000 0.0000
6 O 0.0715 0.3729 0.2143
7 O 0.2312 0.2312 0.7906
8 O 0.7688 0.7688 0.2094
9 O 0.6271 0.9285 0.7857
10 Ca 0.6670 0.3330 0.0000
11 O 0.9285 0.6271 0.7857
12 O 0.3729 0.0715 0.2143

Formation energy without anion corrections, eV/atom: -2.44
Electronic total energy, eV/atom: -6.408
Total magnetization, μB/f.u.: 1.09